No. 1
# SrMg2GeH

A relaxed structure of SrMg2GeH (PBE, Alexandria).

Summary:
The calculation puts the density of states at the Fermi level at 0.473 states/eV per atom. The total energy is -2.8622 eV/atom. The total magnetic moment is 0.0 μB/f.u.

Cell: 4.3501 6.2471 8.3463 Å, 90.00 90.00 110.38°
Fractional coordinates of all 10 atoms:
Sr (0.5480, 0.0960, 0.2500)
Sr (0.4520, 0.9040, 0.7500)
Ge (0.2702, 0.5404, 0.2500)
Ge (0.7298, 0.4596, 0.7500)
Mg (0.8308, 0.6615, 0.4407)
Mg (0.1692, 0.3385, 0.9407)
Mg (0.1692, 0.3385, 0.5593)
Mg (0.8308, 0.6615, 0.0593)
H (0.0000, 0.0000, 0.5000)
H (0.0000, 0.0000, 0.0000)

No. 2
# Sr2MgGeH

A relaxed structure of Sr2MgGeH (PBE, Alexandria).

Summary:
The calculation puts the density of states at the Fermi level at 0.427 states/eV per atom. The total energy is -2.8872 eV/atom. The total magnetic moment is 0.0 μB/f.u.

Cell: 5.0996 5.0996 4.5744 Å, 90.00 90.00 90.00°
Fractional coordinates of all 5 atoms:
Sr (0.5000, 0.0000, 0.0000)
Sr (0.0000, 0.5000, 0.0000)
Ge (0.5000, 0.5000, 0.5000)
H (0.0000, 0.0000, 0.0000)
Mg (0.0000, 0.0000, 0.5000)

No. 3
# MgGe2TeH

A relaxed structure of MgGe2TeH (PBE, Alexandria).

Summary:
The calculation puts the density of states at the Fermi level at 0.405 states/eV per atom. The total energy is -3.1272 eV/atom. The total magnetic moment is 0.0 μB/f.u.

Cell: 4.5287 4.5094 4.5287 Å, 90.00 90.00 90.00°
Fractional coordinates of all 5 atoms:
H (0.0000, 0.0000, 0.0000)
Mg (0.5000, 0.5000, 0.5000)
Ge (0.5000, 0.0000, 0.0000)
Ge (0.0000, 0.0000, 0.5000)
Te (0.0000, 0.5000, 0.0000)

No. 4
# Th2Mg4Ge3H2

A relaxed structure of Th2Mg4Ge3H2 (PBE, Alexandria).

Summary:
The calculation puts the density of states at the Fermi level at 0.236 states/eV per atom. The total energy is -4.2197 eV/atom. The total magnetic moment is 0.0 μB/f.u.

Cell: 4.2979 4.2979 11.8472 Å, 100.45 100.45 90.00°
Fractional coordinates of all 11 atoms:
Th (0.3056, 0.3056, 0.6113)
Th (0.6944, 0.6944, 0.3887)
H (0.4090, 0.4090, 0.8180)
H (0.5910, 0.5910, 0.1820)
Mg (0.0739, 0.5739, 0.1478)
Mg (0.4261, 0.9261, 0.8522)
Mg (0.9261, 0.4261, 0.8522)
Mg (0.5739, 0.0739, 0.1478)
Ge (0.0000, 0.0000, 0.0000)
Ge (0.8317, 0.8317, 0.6635)
Ge (0.1683, 0.1683, 0.3365)

No. 5
# ThMgGeH

A relaxed structure of ThMgGeH (PBE, Alexandria).

Summary:
The calculation puts the density of states at the Fermi level at 0.454 states/eV per atom. The total energy is -4.7746 eV/atom. The total magnetic moment is 0.0 μB/f.u.

Cell: 4.1835 4.1835 8.3042 Å, 90.00 90.00 90.00°
Fractional coordinates of all 8 atoms:
Th (0.5000, 0.0000, 0.1498)
Th (0.0000, 0.5000, 0.8502)
Ge (0.0000, 0.5000, 0.2694)
Ge (0.5000, 0.0000, 0.7306)
Mg (0.5000, 0.5000, 0.5000)
Mg (0.0000, 0.0000, 0.5000)
H (0.5000, 0.5000, 0.0000)
H (0.0000, 0.0000, 0.0000)

No. 6
# Mg2TiGeH

A relaxed structure of Mg2TiGeH (PBE, Alexandria).

Summary:
The calculation puts the density of states at the Fermi level at 0.642 states/eV per atom. The total energy is -3.9239 eV/atom. The total magnetic moment is 0.0 μB/f.u.

Cell: 4.2058 4.2058 4.0705 Å, 90.00 90.00 90.00°
Fractional coordinates of all 5 atoms:
Ti (0.0000, 0.0000, 0.5000)
Ge (0.5000, 0.5000, 0.5000)
Mg (0.5000, 0.0000, 0.0000)
Mg (0.0000, 0.5000, 0.0000)
H (0.0000, 0.0000, 0.0000)

No. 7
# Mg2GeHW

A relaxed structure of Mg2GeHW (PBE, Alexandria).

Summary:
The calculation puts the density of states at the Fermi level at 0.469 states/eV per atom. The total energy is -3.9250 eV/atom. The total magnetic moment is 0.0 μB/f.u.

Cell: 5.4193 3.2602 5.4193 Å, 90.00 90.00 90.00°
Fractional coordinates of all 5 atoms:
Mg (0.5000, 0.0000, 0.0000)
Mg (0.0000, 0.0000, 0.5000)
W (0.0000, 0.0000, 0.0000)
H (0.0000, 0.5000, 0.0000)
Ge (0.5000, 0.5000, 0.5000)

No. 8
# Mg2ZnGeH

A relaxed structure of Mg2ZnGeH (PBE, Alexandria).

Summary:
The calculation puts the density of states at the Fermi level at 0.328 states/eV per atom. The total energy is -2.4616 eV/atom. The total magnetic moment is 0.0 μB/f.u.

Cell: 4.3222 4.3222 4.0796 Å, 90.00 90.00 90.00°
Fractional coordinates of all 5 atoms:
H (0.0000, 0.0000, 0.0000)
Mg (0.0000, 0.5000, 0.0000)
Mg (0.5000, 0.0000, 0.0000)
Ge (0.5000, 0.5000, 0.5000)
Zn (0.0000, 0.0000, 0.5000)

No. 9
# Mn3GeH

A relaxed structure of Mn3GeH (PBE, Alexandria).

Summary:
The calculation puts the density of states at the Fermi level at 0.726 states/eV per atom. For the energy above the lowest structure with this stoichiometry, the calculation gives 142.8 meV per atom. The total energy is -7.0876 eV/atom. The total magnetic moment is 4.4 μB/f.u.

Cell: 4.5637 5.1370 4.2819 Å, 90.00 92.78 90.00°
Each line ends with the local moment (μB).
Fractional coordinates of all 10 atoms:
H (0.0418, 0.2500, 0.4585)  -0.02
H (0.9582, 0.7500, 0.5415)  -0.02
Ge (0.3491, 0.7500, 0.2397)  -0.09
Ge (0.6509, 0.2500, 0.7603)  -0.09
Mn (0.1624, 0.0059, 0.7630)  1.79
Mn (0.1624, 0.4941, 0.7630)  1.79
Mn (0.8376, 0.9941, 0.2370)  1.79
Mn (0.3423, 0.2500, 0.2525)  0.78
Mn (0.6577, 0.7500, 0.7475)  0.78
Mn (0.8376, 0.5059, 0.2370)  1.79

No. 10
# Mn3GeH

A relaxed structure of Mn3GeH (PBE, Alexandria).

Summary:
The calculation puts the density of states at the Fermi level at 0.641 states/eV per atom. For the energy above the lowest structure with this stoichiometry, the calculation gives 320.8 meV per atom. The total energy is -6.9096 eV/atom. The total magnetic moment is 7.5 μB/f.u.

Cell: 4.1418 4.1418 7.3798 Å, 90.00 90.00 120.00°
Each line ends with the local moment (μB).
Fractional coordinates of all 10 atoms:
H (0.0000, 0.0000, 0.5000)  -0.02
H (0.0000, 0.0000, 0.0000)  -0.02
Mn (0.3333, 0.6667, 0.0798)  2.57
Mn (0.0000, 0.0000, 0.7500)  2.28
Mn (0.0000, 0.0000, 0.2500)  2.28
Mn (0.3333, 0.6667, 0.4202)  2.60
Mn (0.6667, 0.3333, 0.9202)  2.57
Mn (0.6667, 0.3333, 0.5798)  2.60
Ge (0.6667, 0.3333, 0.2500)  -0.10
Ge (0.3333, 0.6667, 0.7500)  -0.10

No. 11
# Mn3GeH

A relaxed structure of Mn3GeH (PBE, Alexandria).

Summary:
The calculation puts the density of states at the Fermi level at 0.744 states/eV per atom. For the energy above the lowest structure with this stoichiometry, the calculation gives 329.5 meV per atom. The total energy is -6.9009 eV/atom. The total magnetic moment is 2.4 μB/f.u.

Cell: 4.7666 6.9168 6.4471 Å, 90.00 90.00 90.00°
Each line ends with the local moment (μB).
Fractional coordinates of all 20 atoms:
Mn (0.7498, 0.7500, 0.2498)  2.28
Mn (0.5000, 0.4087, 0.3545)  0.08
Mn (0.5000, 0.5913, 0.6455)  0.08
Mn (0.0000, 0.5913, 0.8545)  0.06
Mn (0.5000, 0.0913, 0.3545)  0.06
Mn (0.0000, 0.4087, 0.1455)  0.06
Mn (0.5000, 0.9087, 0.6455)  0.06
Mn (0.0000, 0.0913, 0.1455)  0.08
Mn (0.7502, 0.2500, 0.7498)  2.29
Mn (0.2502, 0.2500, 0.7502)  2.28
Mn (0.0000, 0.9087, 0.8545)  0.08
Mn (0.2498, 0.7500, 0.2502)  2.29
H (0.5000, 0.2500, 0.5600)  -0.01
H (0.0000, 0.2500, 0.9400)  -0.01
H (0.0000, 0.7500, 0.0600)  -0.01
H (0.5000, 0.7500, 0.4400)  -0.01
Ge (0.0000, 0.5000, 0.5000)  -0.06
Ge (0.5000, 0.5000, 0.0000)  -0.06
Ge (0.0000, 0.0000, 0.5000)  -0.06
Ge (0.5000, 0.0000, 0.0000)  -0.06

No. 12
# MnGeH

A relaxed structure of MnGeH (PBE, Alexandria).

Summary:
The calculation puts the density of states at the Fermi level at 0.375 states/eV per atom. For the energy above the lowest structure with this stoichiometry, the calculation gives 387.8 meV per atom. The total energy is -5.2782 eV/atom. The total magnetic moment is 3.3 μB/f.u.

Cell: 3.5751 3.5751 3.9932 Å, 116.59 116.59 90.00°
Each line ends with the local moment (μB).
Fractional coordinates of all 3 atoms:
H (0.2799, 0.2799, 0.5597)  0.00
Mn (0.0041, 0.0041, 0.0082)  3.26
Ge (0.5661, 0.5661, 0.1321)  -0.12